Nd6DyHo8: optimized geometry, PBE.

a = 8.715 Å, b = 8.715 Å, c = 8.715 Å
α = 62.93°, β = 62.93°, γ = 62.93°
Positions (direct):
1 Nd 0.038 0.728 0.603
2 Nd 0.272 0.397 0.962
3 Nd 0.397 0.962 0.272
4 Nd 0.603 0.038 0.728
5 Nd 0.728 0.603 0.038
6 Nd 0.962 0.272 0.397
7 Dy 0.500 0.500 0.500
8 Ho 0.077 0.077 0.077
9 Ho 0.217 0.249 0.612
10 Ho 0.249 0.612 0.217
11 Ho 0.388 0.783 0.751
12 Ho 0.612 0.217 0.249
13 Ho 0.751 0.388 0.783
14 Ho 0.783 0.751 0.388
15 Ho 0.923 0.923 0.923

## Properties
formation enthalpy at 0 K = 0.121 eV per atom
energy above the most stable polymorph in this dataset = 0 meV per atom
total moment = 0.00 Bohr magnetons per cell
symmetry = R-3 (148)